First-principles (GGA-PBE) data for an optimized crystal structure of TbBeGaPd3, as listed in Alexandria via LeMat-Bulk.

Lattice parameters (Å, degrees): 5.9850 5.7036 6.6996 115.19 90.00 90.00
Fractional coordinates of all 12 atoms:
Pd 0.5000 0.7380 0.0000
Pd 0.2500 0.1626 0.3252
Pd 0.5000 0.2620 0.0000
Pd 0.0000 0.2620 0.0000
Pd 0.0000 0.7380 0.0000
Pd 0.7500 0.8374 0.6748
Tb 0.2500 0.7112 0.4223
Tb 0.7500 0.2888 0.5777
Ga 0.2500 0.3648 0.7297
Ga 0.7500 0.6352 0.2703
Be 0.2500 0.9546 0.9092
Be 0.7500 0.0454 0.0908

Volume (Å³ per cell): 206.9
ΔH_f (0 K) (meV/atom): -603
Energy (eV per atom): -5.096